Material: LaTaGa2P
Method: DFT, PBE
State: optimized geometry

Properties
The relative energy among the computed polymorphs comes out at 2.32 eV/f.u. Its space group is P4/mmm. As for the formation energy: 3.2 eV per formula unit.

Unit cell a=5.007 b=5.007 c=5.465 alpha=90.00 beta=90.00 gamma=90.00
Fractional positions:
La 0.000 0.000 0.000
Ta 0.000 0.000 0.500
Ga 0.000 0.500 0.500
Ga 0.500 0.000 0.500
P 0.500 0.500 0.000